## CdHPd6Pb2 (PBE-GGA)

Data for CdHPd6Pb2 after structural relaxation. Values from VASP.

The structure in Quantum ESPRESSO input format:
```
&SYSTEM
  ibrav = 0, nat = 10, ntyp = 4
/
ATOMIC_SPECIES
Cd 112.41 Cd.upf
H 1.01 H.upf
Pd 106.42 Pd.upf
Pb 207.20 Pb.upf
CELL_PARAMETERS angstrom
5.6657 0.0540 0.0252
-0.0722 7.4634 1.1963
-2.8250 -2.8258 4.0115
ATOMIC_POSITIONS crystal
Cd 0.4999 0.5004 0.9998
H 0.9999 0.0003 0.9997
Pd 0.7741 0.8293 0.0532
Pd 0.7744 0.8295 0.5495
Pd 0.2257 0.1715 0.9464
Pd 0.7214 0.1718 0.9468
Pd 0.2254 0.1713 0.4501
Pd 0.2784 0.8291 0.0528
Pb 0.7420 0.2249 0.4837
Pb 0.2578 0.7758 0.5158
```

Results
crystal system	monoclinic

## CdHPd2Pb (PBE-GGA)

Data for CdHPd2Pb after structural relaxation. Values from VASP.

The structure in Quantum ESPRESSO input format:
```
&SYSTEM
  ibrav = 0, nat = 5, ntyp = 4
/
ATOMIC_SPECIES
Pb 207.20 Pb.upf
H 1.01 H.upf
Pd 106.42 Pd.upf
Cd 112.41 Cd.upf
CELL_PARAMETERS angstrom
4.3226 0.0000 0.0000
0.0000 4.3226 0.0000
0.0000 0.0000 4.2714
ATOMIC_POSITIONS crystal
Pb 0.5000 0.5000 0.5000
H 0.0000 0.0000 0.0000
Pd 0.0000 0.5000 0.0000
Pd 0.5000 0.0000 0.0000
Cd 0.0000 0.0000 0.5000
```

Results
energy above the most stable polymorph in this dataset	0.0	kJ per mole of atoms
crystal system	tetragonal

## CdHPd2Pb (PBE-GGA)

Data for CdHPd2Pb after structural relaxation. Values from VASP.

The structure in Quantum ESPRESSO input format:
```
&SYSTEM
  ibrav = 0, nat = 5, ntyp = 4
/
ATOMIC_SPECIES
Pb 207.20 Pb.upf
H 1.01 H.upf
Pd 106.42 Pd.upf
Cd 112.41 Cd.upf
CELL_PARAMETERS angstrom
-1.4521 -5.0087 -0.0676
3.3204 -0.9588 -0.2853
0.3933 -0.1842 5.1973
ATOMIC_POSITIONS crystal
Pb 0.5000 0.5000 0.5000
H 0.0000 0.5000 0.0000
Pd 0.0000 0.0000 0.5000
Pd 0.5000 0.0000 0.0000
Cd 0.0000 0.0000 0.0000
```

Results
energy above the most stable polymorph in this dataset	33.7	kJ per mole of atoms
crystal system	tetragonal

## Cd2HPtPb (PBE-GGA)

Data for Cd2HPtPb after structural relaxation. Values from VASP.

The structure in Quantum ESPRESSO input format:
```
&SYSTEM
  ibrav = 0, nat = 5, ntyp = 4
/
ATOMIC_SPECIES
Pb 207.20 Pb.upf
H 1.01 H.upf
Pt 195.08 Pt.upf
Cd 112.41 Cd.upf
CELL_PARAMETERS angstrom
5.4475 0.0000 0.0000
0.0000 5.4475 0.0000
0.0000 0.0000 3.4931
ATOMIC_POSITIONS crystal
Pb 0.5000 0.5000 0.5000
H 0.0000 0.0000 0.5000
Pt 0.0000 0.0000 0.0000
Cd 0.0000 0.5000 0.0000
Cd 0.5000 0.0000 0.0000
```

Results
crystal system	tetragonal

## Rb2CdH6Pb (PBE-GGA)

Data for Rb2CdH6Pb after structural relaxation. Values from VASP.

The structure in Quantum ESPRESSO input format:
```
&SYSTEM
  ibrav = 0, nat = 10, ntyp = 4
/
ATOMIC_SPECIES
Rb 85.47 Rb.upf
Cd 112.41 Cd.upf
H 1.01 H.upf
Pb 207.20 Pb.upf
CELL_PARAMETERS angstrom
-4.4778 -0.5901 4.1809
-3.0414 -3.7816 -3.7852
-1.6445 -5.6474 1.9660
ATOMIC_POSITIONS crystal
Rb 0.7501 0.2500 0.5000
Rb 0.2499 0.7500 0.5000
Cd 0.5000 0.5000 0.0000
H 0.2640 0.2640 0.4723
H 0.7344 0.7343 0.0001
H 0.2656 0.7344 0.0000
H 0.7343 0.2656 0.0000
H 0.2656 0.2657 0.9999
H 0.7360 0.7360 0.5277
Pb 0.0000 0.0000 0.0000
```

Results
crystal system	monoclinic

## Cd2HRhPb (PBE-GGA)

Data for Cd2HRhPb after structural relaxation. Values from VASP.

The structure in Quantum ESPRESSO input format:
```
&SYSTEM
  ibrav = 0, nat = 5, ntyp = 4
/
ATOMIC_SPECIES
Pb 207.20 Pb.upf
H 1.01 H.upf
Rh 102.91 Rh.upf
Cd 112.41 Cd.upf
CELL_PARAMETERS angstrom
5.0759 0.0000 0.0000
0.0000 5.0759 0.0000
0.0000 0.0000 3.4700
ATOMIC_POSITIONS crystal
Pb 0.5000 0.5000 0.5000
H 0.0000 0.0000 0.0000
Rh 0.0000 0.0000 0.5000
Cd 0.0000 0.5000 0.0000
Cd 0.5000 0.0000 0.0000
```

Results
crystal system	tetragonal

## CdHRh2Pb2 (PBE-GGA)

Data for CdHRh2Pb2 after structural relaxation. Values from VASP.

The structure in Quantum ESPRESSO input format:
```
&SYSTEM
  ibrav = 0, nat = 12, ntyp = 4
/
ATOMIC_SPECIES
Cd 112.41 Cd.upf
H 1.01 H.upf
Rh 102.91 Rh.upf
Pb 207.20 Pb.upf
CELL_PARAMETERS angstrom
5.6377 0.0000 0.0000
0.0000 7.2438 0.0000
-2.8188 -3.6219 5.3039
ATOMIC_POSITIONS crystal
Cd 0.2500 0.0000 0.0000
Cd 0.7500 0.0000 0.0000
H 0.7500 0.5000 0.0000
H 0.2500 0.5000 0.0000
Rh 0.4338 0.6052 0.8676
Rh 0.5662 0.3948 0.1324
Rh 0.0662 0.7375 0.1324
Rh 0.9338 0.2625 0.8676
Pb 0.6967 0.8575 0.3933
Pb 0.1967 0.5358 0.3933
Pb 0.8033 0.4642 0.6067
Pb 0.3033 0.1425 0.6067
```

Results
crystal system	orthorhombic

## CdH8Rh2Pb (PBE-GGA)

Data for CdH8Rh2Pb after structural relaxation. Values from VASP.

The structure in Quantum ESPRESSO input format:
```
&SYSTEM
  ibrav = 0, nat = 12, ntyp = 4
/
ATOMIC_SPECIES
Cd 112.41 Cd.upf
H 1.01 H.upf
Rh 102.91 Rh.upf
Pb 207.20 Pb.upf
CELL_PARAMETERS angstrom
-3.0632 3.0932 -2.4254
-0.8708 -0.6605 -4.8620
-5.8589 -2.6818 -1.1402
ATOMIC_POSITIONS crystal
Cd 0.0000 0.0000 0.0000
H 0.2096 0.2096 0.3712
H 0.5565 0.3981 0.1452
H 0.7904 0.7904 0.6288
H 0.9002 0.5565 0.1452
H 0.0998 0.4435 0.8548
H 0.3981 0.9002 0.1452
H 0.6019 0.0998 0.8548
H 0.4435 0.6019 0.8548
Rh 0.3052 0.3052 0.0843
Rh 0.6948 0.6948 0.9157
Pb 0.5000 0.5000 0.5000
```

Results
crystal system	trigonal

| no. | M_tot (μB/f.u.) | ρ (g/cm3) | total energy (eV for the cell shown) |
| --- | --- | --- | --- |
| 1 | 0.00 | 10.24 | -44.553 |
| 2 | 0.00 | 11.10 | -18.418 |
| 3 | 0.00 | 9.39 | -16.670 |
| 4 | 0.00 | 10.06 | -14.649 |
| 5 | 0.00 | 4.92 | -26.280 |
| 6 | 0.00 | 9.95 | -15.701 |
| 7 | 0.00 | 11.25 | -53.461 |
| 8 | 0.00 | 7.01 | -44.951 |